## PtClO2 (GGA-PBEsol)

Data for crystalline PtClO2 at its relaxed geometry.

Calculated values
**Total magnetic moment**: 0.00 μB/f.u.
**SG**: I-42d (122)
**Raw formation energy**: 0.18 eV per atom
**DFT total energy**: -4.69 eV/atom

```
PtClO2
1.0
-3.405 3.405 2.442
3.405 -3.405 2.442
3.405 3.405 -2.442
Pt Cl O
2 2 4
Direct
0.000 0.000 0.000 Pt
0.750 0.250 0.500 Pt
0.250 0.750 0.500 Cl
0.500 0.500 0.000 Cl
0.375 0.238 0.363 O
0.762 0.125 0.137 O
0.875 0.012 0.637 O
0.988 0.625 0.863 O
```